A plane-wave DFT calculation with PBE with a Hubbard U was carried out for AsWNO2 after structural relaxation.

a = 3.7404 Å, b = 3.7404 Å, c = 4.1788 Å
α = 90.00°, β = 90.00°, γ = 90.00°
With the nearest neighbours (Å) after each atom.
Fractional coordinates of all 5 atoms:
O  0.0000  0.5000  0.0000  2 As 1.87
W  0.5000  0.5000  0.5000  4 N 2.64, 8 O 2.80
N  0.0000  0.0000  0.5000  2 As 2.09
O  0.5000  0.0000  0.0000  2 As 1.87
As  0.0000  0.0000  0.0000  4 O 1.87, 2 N 2.09

Output
Space group = P4/mmm, No. 123
Density = 8656 kg/m3
Total energy = -5.830 eV per atom
Magnetic moment = 0.644 μB per atom
DOS at the Fermi energy = 0.238 states/eV/atom